# KSr2Ag PBE optimized geometry
data_KSr2Ag
_cell_length_a 4.023
_cell_length_b 4.019
_cell_length_c 11.034
_cell_angle_alpha 90.00
_cell_angle_beta 90.43
_cell_angle_gamma 90.00
_symmetry_space_group_name_H-M 'P 1 2/m 1'
_symmetry_Int_Tables_number 10
loop_
_symmetry_equiv_pos_as_xyz
'x,y,z'
'-x,-y,-z'
'-x,y,-z'
'x,-y,z'
loop_
_atom_site_label
_atom_site_fract_x
_atom_site_fract_y
_atom_site_fract_z
K1 0.000 0.000 0.000
Sr1 0.496 0.500 0.329
Ag1 0.000 0.000 0.500
# VASP energy = -7.69 eV for the cell shown
# ΔE to the lowest computed polymorph = 0 meV per atom
# total magnetic moment = 0.00 μB/atom
# energy of formation from the pure elements = -94 meV per atom